A plane-wave DFT calculation with GGA-PBE was carried out for crystalline V4Fe2Pd5 at its relaxed geometry.

Cell: 8.967 8.967 8.967 Å, 162.51 132.22 51.27°
Positions (direct):
V (0.197, 0.500, 0.697)
V (0.222, 0.222, 0.000)
V (0.778, 0.778, 0.000)
V (0.803, 0.500, 0.303)
Fe (0.081, 0.081, 0.000)
Fe (0.919, 0.919, 0.000)
Pd (0.129, 0.343, 0.786)
Pd (0.443, 0.657, 0.786)
Pd (0.500, 0.000, 0.500)
Pd (0.557, 0.343, 0.214)
Pd (0.871, 0.657, 0.214)

Computed properties:
Energy relative to the elements: 0.071 eV/atom
Symmetry: No. 71
Total magnetization: 0.031 μB/atom
DOS(E_F): 0.90 states/eV/atom
E: -7.14 eV/atom